Record 1
AgAs2SeN | GGA-PBE | relaxed

Cell lengths 5.056, 5.056, 5.156 Å; angles 90.00, 90.00, 90.00 degrees
Space group P4/mmm (No. 123)
Symmetry-distinct sites (fractional):
Ag1 0.000 0.000 0.000 (multiplicity 1)
As1 0.000 0.500 0.000 (multiplicity 2)
Se1 0.000 0.000 0.500 (multiplicity 1)
N1 0.500 0.500 0.500 (multiplicity 1)

## Properties
The formation energy without anion corrections is 9.114 eV per formula unit. The calculation puts the energy above the lowest structure with this stoichiometry at 4.98 eV per formula unit. The raw total energy is -2.97 eV per atom.

***

Record 2
Sr2AgAsN | GGA-PBE | relaxed

Cell lengths 5.328, 5.328, 4.157 Å; angles 90.00, 90.00, 90.00 degrees
Space group P4/mmm (No. 123)
Symmetry-distinct sites (fractional):
Sr1 0.000 0.500 0.000 (multiplicity 2)
Ag1 0.000 0.000 0.500 (multiplicity 1)
As1 0.500 0.500 0.500 (multiplicity 1)
N1 0.500 0.500 0.000 (multiplicity 1)

## Properties
The formation energy without anion corrections is -1.700 eV per formula unit. The raw total energy is -4.18 eV per atom.

***

Record 3
AgTeAsN2 | GGA-PBE | relaxed

Cell lengths 4.123, 4.123, 6.309 Å; angles 90.00, 90.00, 90.00 degrees
Space group P4/mmm (No. 123)
Symmetry-distinct sites (fractional):
Ag1 0.000 0.000 0.000 (multiplicity 1)
Te1 0.000 0.000 0.500 (multiplicity 1)
As1 0.500 0.500 0.500 (multiplicity 1)
N1 0.000 0.500 0.000 (multiplicity 2)

## Properties
The formation energy without anion corrections is 9.032 eV per formula unit. The calculation puts the energy above the lowest structure with this stoichiometry at 2.69 eV per formula unit. The raw total energy is -3.65 eV per atom.

***

Record 4
AgTeAsN2 | GGA-PBE | relaxed

Cell lengths 3.838, 3.838, 6.269 Å; angles 90.00, 90.00, 90.00 degrees
Space group P4/mmm (No. 123)
Symmetry-distinct sites (fractional):
Ag1 0.000 0.000 0.000 (multiplicity 1)
Te1 0.500 0.500 0.000 (multiplicity 1)
As1 0.500 0.500 0.500 (multiplicity 1)
N1 0.000 0.500 0.500 (multiplicity 2)

## Properties
The formation energy without anion corrections is 6.346 eV per formula unit. The calculation puts the energy above the lowest structure with this stoichiometry at 0.00 eV per formula unit. The raw total energy is -4.19 eV per atom.

***

Record 5
ThAgAsN | GGA-PBE | relaxed

Cell lengths 4.186, 4.186, 8.848 Å; angles 90.00, 90.00, 90.00 degrees
Space group P4/nmm (No. 129, origin choice 2)
Symmetry-distinct sites (fractional):
Th1 0.250 0.250 0.126 (multiplicity 2)
Ag1 0.250 0.750 0.500 (multiplicity 2)
As1 0.250 0.250 0.692 (multiplicity 2)
N1 0.250 0.750 0.000 (multiplicity 2)

## Properties
The formation energy without anion corrections is -3.767 eV per formula unit. The raw total energy is -6.75 eV per atom.

***

Record 6
Na3AgAs | GGA-PBE | relaxed

Cell lengths 5.418, 5.418, 5.418 Å; angles 90.00, 90.00, 90.00 degrees
Space group Pm-3m (No. 221)
Symmetry-distinct sites (fractional):
Na1 0.000 0.000 0.500 (multiplicity 3)
Ag1 0.000 0.000 0.000 (multiplicity 1)
As1 0.500 0.500 0.500 (multiplicity 1)

## Properties
The calculation puts the energy above the lowest structure with this stoichiometry at 2.15 eV per formula unit. The raw total energy is -2.03 eV per atom. As for the formation energy: 0.26 eV per atom.